1.
{"formula": "MgScFe", "functional": "PBE-GGA", "state": "optimized geometry", "formation_energy_ev_per_fu": 0.22, "lattice_angstrom": [[5.751, -0.042, 0.046], [4.872, 3.057, 0.022], [0.879, 0.273, 3.087]], "species": ["Fe", "Mg", "Sc"], "frac_coords": [[0.004, 0.004, 0.996], [0.356, 0.356, 0.644], [0.640, 0.640, 0.360]]}

***

2.
{"formula": "KMgBr", "functional": "PBE-GGA", "state": "optimized geometry", "e_above_lowest_polymorph_mev_per_atom": 171, "lattice_angstrom": [[5.744, 0.000, 0.000], [2.872, 4.974, 0.000], [2.872, 1.658, 4.690]], "species": ["Br", "K", "Mg"], "frac_coords": [[0.500, 0.500, 0.500], [0.250, 0.250, 0.250], [0.000, 0.000, 0.000]]}

***

3.
{"formula": "LaCuMo3", "functional": "PBE-GGA", "state": "optimized geometry", "formation_energy_ev_per_fu": 11.83, "e_above_lowest_polymorph_mev_per_atom": 1043, "lattice_angstrom": [[-1.286, 1.011, -4.465], [4.068, -1.876, -1.596], [-2.101, -4.251, -0.358]], "species": ["Mo", "Mo", "Mo", "Cu", "La"], "frac_coords": [[0.000, 0.500, 0.000], [0.000, 0.000, 0.500], [0.500, 0.000, 0.000], [0.500, 0.500, 0.500], [0.000, 0.000, 0.000]]}

***

4.
{"formula": "La6FeSi2S14", "functional": "PBE-GGA", "state": "optimized geometry", "dft_energy_ev_per_atom": -6.299, "lattice_angstrom": [[-8.771, 4.653, -2.692], [6.605, -3.115, -7.246], [-2.664, -5.147, -0.216]], "species": ["La", "La", "La", "La", "La", "La", "Fe", "Si", "Si", "S", "S", "S", "S", "S", "S", "S", "S", "S", "S", "S", "S", "S", "S"], "frac_coords": [[0.456, 0.435, 0.255], [0.565, 0.021, 0.255], [0.979, 0.544, 0.255], [0.208, 0.895, 0.750], [0.105, 0.313, 0.750], [0.687, 0.792, 0.750], [0.333, 0.667, 0.488], [0.667, 0.333, 0.835], [0.000, 0.000, 0.338], [0.667, 0.333, 0.471], [0.000, 0.000, 0.974], [0.415, 0.520, 0.714], [0.480, 0.895, 0.714], [0.105, 0.585, 0.714], [0.256, 0.817, 0.268], [0.183, 0.438, 0.268], [0.562, 0.744, 0.268], [0.742, 0.553, 0.973], [0.447, 0.189, 0.973], [0.811, 0.258, 0.973], [0.920, 0.780, 0.476], [0.220, 0.140, 0.476], [0.860, 0.080, 0.476]]}

***

5.
{"formula": "PuTcH4", "functional": "PBE-GGA", "state": "optimized geometry", "e_above_lowest_polymorph_mev_per_atom": 64, "lattice_angstrom": [[-3.022, 1.103, -1.207], [0.343, -2.053, -2.734], [-2.212, -3.499, 2.348]], "species": ["Pu", "Tc", "H", "H", "H", "H"], "frac_coords": [[0.500, 0.000, 0.000], [0.000, 0.500, 0.500], [0.000, 0.500, 0.141], [0.000, 0.500, 0.859], [0.000, 0.000, 0.500], [0.500, 0.500, 0.500]]}

***

6.
{"formula": "InBi", "functional": "PBE-GGA", "state": "optimized geometry", "formation_energy_ev_per_fu": 0.06, "lattice_angstrom": [[5.622, 0.000, 0.000], [0.000, 6.388, 0.000], [0.000, 0.000, 3.410]], "species": ["In", "In", "Bi", "Bi"], "frac_coords": [[0.000, 0.708, 0.386], [0.500, 0.292, 0.886], [0.000, 0.216, 0.384], [0.500, 0.784, 0.884]]}

***

7.
{"formula": "AlRePd2Pb", "functional": "PBE-GGA", "state": "optimized geometry", "formation_energy_ev_per_fu": 7.91, "lattice_angstrom": [[4.956, 0.000, 0.000], [0.000, 5.142, 0.000], [0.000, 0.000, 4.956]], "species": ["Pb", "Re", "Al", "Pd", "Pd"], "frac_coords": [[0.000, 0.000, 0.000], [0.000, 0.500, 0.000], [0.500, 0.500, 0.500], [0.000, 0.000, 0.500], [0.500, 0.000, 0.000]]}

***

8.
{"formula": "NaHfNi2Sb", "functional": "PBE-GGA", "state": "optimized geometry", "dft_energy_ev_per_atom": -4.615, "lattice_angstrom": [[4.774, 0.000, 0.000], [0.000, 5.331, 0.000], [0.000, 0.000, 4.774]], "species": ["Na", "Sb", "Hf", "Ni", "Ni"], "frac_coords": [[0.500, 0.500, 0.500], [0.000, 0.000, 0.000], [0.000, 0.500, 0.000], [0.000, 0.000, 0.500], [0.500, 0.000, 0.000]]}

***

Calculated magnetic moment (μB/cell), listed in the same order as above: 1.36; 0.00; 0.00; 0.11; 5.02; 0.00; 1.69; 0.76